[1]
Computed, not measured: an optimized crystal structure of Ce2Sc2Al at the PBE level of DFT.

Structure (extended XYZ):
```
15
Lattice="5.2249 0.0000 0.0000 -2.6124 4.5249 0.0000 0.0000 0.0000 15.9521" Properties=species:S:1:pos:R:3 pbc="T T T"
Ce 0.0000 0.0000 1.6003
Ce 0.0000 0.0000 14.3518
Ce 0.0000 3.0166 9.0344
Ce 0.0000 3.0166 12.2350
Ce 2.6125 1.5083 3.7171
Ce 2.6125 1.5083 6.9177
Sc 0.0000 0.0000 5.0714
Sc 0.0000 0.0000 10.8807
Sc 0.0000 3.0166 5.5634
Sc 0.0000 3.0166 15.7061
Sc 2.6125 1.5083 0.2460
Sc 2.6125 1.5083 10.3888
Al 0.0000 0.0000 7.9761
Al 0.0000 3.0166 2.6587
Al 2.6125 1.5083 13.2934
```

## Properties
Space group ... R-3m (166)
Formation enthalpy at 0 K ... -79 meV/atom



[2]
Computed, not measured: an optimized crystal structure of CeSc4Al5 at the PBE level of DFT.

Structure (extended XYZ):
```
10
Lattice="3.3434 0.0000 0.0000 0.0000 3.3434 0.0000 0.0000 0.0000 18.0616" Properties=species:S:1:pos:R:3 pbc="T T T"
Ce 0.0000 0.0000 0.0000
Sc 0.0000 0.0000 3.8677
Sc 0.0000 0.0000 7.3156
Sc 0.0000 0.0000 10.7460
Sc 0.0000 0.0000 14.1939
Al 1.6717 1.6717 2.1281
Al 1.6717 1.6717 5.5953
Al 1.6717 1.6717 9.0308
Al 1.6717 1.6717 12.4663
Al 1.6717 1.6717 15.9335
```

## Properties
Space group ... P4/mmm (123)
Formation enthalpy at 0 K ... -421 meV/atom



[3]
Computed, not measured: an optimized crystal structure of CeThScAl at the PBE level of DFT.

Structure (extended XYZ):
```
16
Lattice="7.4958 0.0000 0.0000 0.0000 7.4958 0.0000 0.0000 0.0000 7.4958" Properties=species:S:1:pos:R:3 pbc="T T T"
Ce 0.0000 0.0000 0.0000
Ce 0.0000 3.7479 3.7479
Ce 3.7479 0.0000 3.7479
Ce 3.7479 3.7479 0.0000
Th 0.0000 0.0000 3.7479
Th 0.0000 3.7479 0.0000
Th 3.7479 0.0000 0.0000
Th 3.7479 3.7479 3.7479
Sc 1.8740 1.8740 5.6219
Sc 1.8740 5.6219 1.8740
Sc 5.6219 1.8740 1.8740
Sc 5.6219 5.6219 5.6219
Al 1.8740 1.8740 1.8740
Al 1.8740 5.6219 5.6219
Al 5.6219 1.8740 5.6219
Al 5.6219 5.6219 1.8740
```

## Properties
Space group ... F-43m (216)
Formation enthalpy at 0 K ... -1 meV/atom



[4]
Computed, not measured: an optimized crystal structure of CeScTiAl at the PBE level of DFT.

Structure (extended XYZ):
```
16
Lattice="6.9885 0.0000 0.0000 0.0000 6.9885 0.0000 0.0000 0.0000 6.9885" Properties=species:S:1:pos:R:3 pbc="T T T"
Ce 0.0000 0.0000 0.0000
Ce 0.0000 3.4943 3.4943
Ce 3.4943 0.0000 3.4943
Ce 3.4943 3.4943 0.0000
Sc 0.0000 0.0000 3.4943
Sc 0.0000 3.4943 0.0000
Sc 3.4943 0.0000 0.0000
Sc 3.4943 3.4943 3.4943
Ti 1.7471 1.7471 5.2414
Ti 1.7471 5.2414 1.7471
Ti 5.2414 1.7471 1.7471
Ti 5.2414 5.2414 5.2414
Al 1.7471 1.7471 1.7471
Al 1.7471 5.2414 5.2414
Al 5.2414 1.7471 5.2414
Al 5.2414 5.2414 1.7471
```

## Properties
Space group ... F-43m (216)
Formation enthalpy at 0 K ... -74 meV/atom



[5]
Computed, not measured: an optimized crystal structure of CeScAlTl at the PBE level of DFT.

Structure (extended XYZ):
```
16
Lattice="7.3253 0.0000 0.0000 0.0000 7.3253 0.0000 0.0000 0.0000 7.3253" Properties=species:S:1:pos:R:3 pbc="T T T"
Ce 0.0000 0.0000 0.0000
Ce 0.0000 3.6627 3.6627
Ce 3.6627 0.0000 3.6627
Ce 3.6627 3.6627 0.0000
Sc 0.0000 0.0000 3.6627
Sc 0.0000 3.6627 0.0000
Sc 3.6627 0.0000 0.0000
Sc 3.6627 3.6627 3.6627
Al 1.8313 1.8313 1.8313
Al 1.8313 5.4940 5.4940
Al 5.4940 1.8313 5.4940
Al 5.4940 5.4940 1.8313
Tl 1.8313 1.8313 5.4940
Tl 1.8313 5.4940 1.8313
Tl 5.4940 1.8313 1.8313
Tl 5.4940 5.4940 5.4940
```

## Properties
Space group ... F-43m (216)
Formation enthalpy at 0 K ... -247 meV/atom
Offset from the most stable computed form ... 0.24 eV/f.u.



[6]
Computed, not measured: an optimized crystal structure of CeScAlTl at the PBE level of DFT.

Structure (extended XYZ):
```
4
Lattice="3.2848 0.0000 0.0000 0.0000 3.2848 0.0000 0.0000 0.0000 8.7159" Properties=species:S:1:pos:R:3 pbc="T T T"
Ce 0.0000 0.0000 0.0000
Sc 0.0000 0.0000 4.6811
Al 1.6424 1.6424 6.5360
Tl 1.6424 1.6424 2.4834
```

## Properties
Space group ... P4mm (99)
Formation enthalpy at 0 K ... -307 meV/atom
Offset from the most stable computed form ... 0.00 eV/f.u.



What is the formation enthalpy at 0 K in the fourth record? -74 meV/atom